Record 1
Compound: TcRhSe2
Source: Alexandria
Functional: PBE-GGA
Structure: optimized geometry

## Properties
**Calculated volume**: 136 Å³ per cell
**Magnetic moment**: 0.0 μB/f.u.

Geometry as CIF:
```
data_TcRhSe2
_chemical_formula_sum 'Tc2 Rh2 Se4'
_cell_length_a 3.039
_cell_length_b 5.436
_cell_length_c 8.210
_cell_angle_alpha 90.00
_cell_angle_beta 90.00
_cell_angle_gamma 90.00
_space_group_name_H-M_alt 'C m m m'
_space_group_IT_number 65
_space_group_name_Hall '-C 2 2'
loop_
_atom_site_label
_atom_site_type_symbol
_atom_site_fract_x
_atom_site_fract_y
_atom_site_fract_z
_atom_site_occupancy
Tc1 Tc 0.000 0.000 0.000 1
Rh1 Rh 0.000 0.000 0.500 1
Se1 Se 0.000 0.500 0.246 1
```

=====

Record 2
Compound: TcRhSe2
Source: Alexandria
Functional: PBE-GGA
Structure: optimized geometry

## Properties
**Calculated volume**: 128 Å³ per cell
**Magnetic moment**: 0.5 μB/f.u.

Geometry as CIF:
```
data_TcRhSe2
_chemical_formula_sum 'Tc2 Rh2 Se4'
_cell_length_a 3.736
_cell_length_b 3.736
_cell_length_c 9.165
_cell_angle_alpha 90.00
_cell_angle_beta 90.00
_cell_angle_gamma 90.00
_space_group_name_H-M_alt 'I -4 m 2'
_space_group_IT_number 119
_space_group_name_Hall 'I -4 -2'
loop_
_atom_site_label
_atom_site_type_symbol
_atom_site_fract_x
_atom_site_fract_y
_atom_site_fract_z
_atom_site_occupancy
Tc1 Tc 0.000 0.000 0.000 1
Rh1 Rh 0.000 0.500 0.750 1
Se1 Se 0.000 0.000 0.500 1
Se2 Se 0.000 0.500 0.250 1
```

=====

Record 3
Compound: TcRhSe2
Source: Alexandria
Functional: PBE-GGA
Structure: optimized geometry

## Properties
**Calculated volume**: 75 Å³ per cell
**Magnetic moment**: 0.0 μB/f.u.

Geometry as CIF:
```
data_TcRhSe2
_chemical_formula_sum 'Tc1 Rh1 Se2'
_cell_length_a 3.081
_cell_length_b 3.081
_cell_length_c 7.950
_cell_angle_alpha 90.00
_cell_angle_beta 90.00
_cell_angle_gamma 90.00
_space_group_name_H-M_alt 'P 4 m m'
_space_group_IT_number 99
_space_group_name_Hall 'P 4 -2'
loop_
_atom_site_label
_atom_site_type_symbol
_atom_site_fract_x
_atom_site_fract_y
_atom_site_fract_z
_atom_site_occupancy
Tc1 Tc 0.000 0.000 0.000 1
Rh1 Rh 0.500 0.500 0.250 1
Se1 Se 0.000 0.000 0.404 1
Se2 Se 0.500 0.500 0.836 1
```

=====

Record 4
Compound: TcRhSe2
Source: Alexandria
Functional: PBE-GGA
Structure: optimized geometry

## Properties
**Calculated volume**: 135 Å³ per cell
**Magnetic moment**: 0.0 μB/f.u.

Geometry as CIF:
```
data_TcRhSe2
_chemical_formula_sum 'Tc2 Rh2 Se4'
_cell_length_a 2.995
_cell_length_b 5.349
_cell_length_c 8.400
_cell_angle_alpha 90.00
_cell_angle_beta 90.00
_cell_angle_gamma 90.00
_space_group_name_H-M_alt 'I m m m'
_space_group_IT_number 71
_space_group_name_Hall '-I 2 2'
loop_
_atom_site_label
_atom_site_type_symbol
_atom_site_fract_x
_atom_site_fract_y
_atom_site_fract_z
_atom_site_occupancy
Tc1 Tc 0.000 0.000 0.000 1
Rh1 Rh 0.000 0.000 0.500 1
Se1 Se 0.000 0.500 0.259 1
```

=====

| no. | density of states at the Fermi level (states/eV per cell) | formation energy (no corrections) (eV per atom) |
| --- | --- | --- |
| 1 | 10.50 | 0.47 |
| 2 | 10.56 | 0.38 |
| 3 | 2.80 | -0.09 |
| 4 | 9.54 | 0.46 |